Tc2NiAg: optimized geometry, PBE-GGA.

Output
polymorph energy (0 for the lowest one) = 124.6 kJ/mol of formula units
calculated total energy = -6.83 eV per atom
total magnetization = 0.15 μB/atom
calculated formation energy = 49.1 kJ per mole of atoms
D(E_F) = 19.541 states/eV per cell

```
data_Tc2NiAg
_cell_length_a 6.1557
_cell_length_b 6.1557
_cell_length_c 6.1557
_cell_angle_alpha 90.00
_cell_angle_beta 90.00
_cell_angle_gamma 90.00
_symmetry_space_group_name_H-M 'F -4 3 m'
_symmetry_Int_Tables_number 216
_symmetry_space_group_name_Hall 'F -4 2 3'
loop_
_atom_site_label
_atom_site_type_symbol
_atom_site_fract_x
_atom_site_fract_y
_atom_site_fract_z
Tc1 Tc 0.0000 0.0000 0.0000
Tc2 Tc 0.2500 0.2500 0.2500
Ni1 Ni 0.2500 0.2500 0.7500
Ag1 Ag 0.0000 0.0000 0.5000
```